SrLaTi2: relaxed, PBE.

Lattice parameters (Å, degrees): 5.3603 5.3603 5.3603 60.00 60.00 60.00
Last column: nearest neighbours and their distance in Å.
Element x y z (fractional)
Sr  0.0000  0.0000  0.0000  8 Ti 3.28
Ti  0.2500  0.2500  0.2500  4 La 3.28, 4 Sr 3.28
Ti  0.7500  0.7500  0.7500  4 La 3.28, 4 Sr 3.28
La  0.5000  0.5000  0.5000  8 Ti 3.28

Summary:
energy above the most stable polymorph in this dataset = 0 meV per atom
space-group type = No. 225


Sr3LaTi: relaxed, PBE.

Lattice parameters (Å, degrees): 6.1708 6.1708 6.1708 90.00 90.00 90.00
Last column: nearest neighbours and their distance in Å.
Element x y z (fractional)
Sr  0.0000  0.5000  0.0000  2 La 3.09
Sr  0.0000  0.0000  0.5000  2 La 3.09
Sr  0.5000  0.0000  0.0000  2 La 3.09
Ti  0.5000  0.5000  0.5000  12 Sr 4.36
La  0.0000  0.0000  0.0000  6 Sr 3.09

Summary:
energy above the most stable polymorph in this dataset = 482 meV per atom
space-group type = No. 221


Sr3LaTi: relaxed, PBE.

Lattice parameters (Å, degrees): 6.1002 6.1002 6.1002 90.00 90.00 90.00
Last column: nearest neighbours and their distance in Å.
Element x y z (fractional)
Sr  0.0000  0.5000  0.0000  2 Ti 3.05
Sr  0.0000  0.0000  0.5000  2 Ti 3.05
Sr  0.5000  0.0000  0.0000  2 Ti 3.05
Ti  0.0000  0.0000  0.0000  6 Sr 3.05
La  0.5000  0.5000  0.5000  12 Sr 4.31

Summary:
energy above the most stable polymorph in this dataset = 0 meV per atom
space-group type = No. 221


Sr2LaTi: relaxed, PBE.

Lattice parameters (Å, degrees): 9.4470 9.4470 7.4721 50.79 50.79 90.00
Last column: nearest neighbours and their distance in Å.
Element x y z (fractional)
Sr  0.5860  0.1250  0.2500  2 Ti 3.20, 2 Sr 3.43
Sr  0.1640  0.6250  0.2500  2 Ti 3.20, 2 Sr 3.43
Sr  0.3750  0.4140  0.7500  2 Ti 3.20, 2 Sr 3.43
Sr  0.8750  0.8360  0.7500  2 Ti 3.20, 2 Sr 3.43
Ti  0.5000  0.5000  0.0000  4 Sr 3.20, 2 La 3.35
Ti  0.2500  0.7500  0.5000  4 Sr 3.20, 2 La 3.35
La  0.0000  0.0000  0.0000  2 Ti 3.35, 4 Sr 3.71
La  0.7500  0.2500  0.5000  2 Ti 3.35, 4 Sr 3.71

Summary:
energy above the most stable polymorph in this dataset = 207 meV per atom
space-group type = No. 122


SrLa2Ti2: relaxed, PBE.

Lattice parameters (Å, degrees): 9.3612 9.3612 3.3435 90.00 90.00 90.00
Last column: nearest neighbours and their distance in Å.
Element x y z (fractional)
Sr  0.0000  0.0000  0.0000  2 Sr 3.34, 4 La 3.44
Sr  0.5000  0.5000  0.0000  2 Sr 3.34, 4 La 3.44
Ti  0.1069  0.6069  0.5000  1 Ti 2.83
Ti  0.6069  0.8931  0.5000  1 Ti 2.83
Ti  0.8931  0.3931  0.5000  1 Ti 2.83
Ti  0.3931  0.1069  0.5000  1 Ti 2.83
La  0.3196  0.8196  0.0000  6 Ti 3.24-3.27, 2 La 3.34, 2 Sr 3.44
La  0.8196  0.6804  0.0000  6 Ti 3.24-3.27, 2 La 3.34, 2 Sr 3.44
La  0.6804  0.1804  0.0000  6 Ti 3.24-3.27, 2 La 3.34, 2 Sr 3.44
La  0.1804  0.3196  0.0000  6 Ti 3.24-3.27, 2 La 3.34, 2 Sr 3.44

Summary:
energy above the most stable polymorph in this dataset = 35 meV per atom
space-group type = No. 127


Sr2LaTi: relaxed, PBE.

Lattice parameters (Å, degrees): 5.9535 5.9535 5.9535 60.00 60.00 60.00
Last column: nearest neighbours and their distance in Å.
Element x y z (fractional)
Sr  0.2500  0.2500  0.2500  4 Ti 3.65, 4 La 3.65
Sr  0.7500  0.7500  0.7500  4 La 3.65, 4 Ti 3.65
Ti  0.0000  0.0000  0.0000  8 Sr 3.65
La  0.5000  0.5000  0.5000  8 Sr 3.65

Summary:
energy above the most stable polymorph in this dataset = 0 meV per atom
space-group type = No. 225


SrLaTi2: relaxed, PBE.

Lattice parameters (Å, degrees): 4.9899 4.9899 11.3047 77.25 77.25 90.00
Last column: nearest neighbours and their distance in Å.
Element x y z (fractional)
Sr  0.5000  0.5000  0.0000  4 La 3.53, 8 Ti 3.87
Sr  0.2500  0.7500  0.5000  4 La 3.53, 8 Ti 3.87
Ti  0.8754  0.1250  0.2500  2 Ti 2.49
Ti  0.8746  0.6250  0.2500  2 Ti 2.49
Ti  0.3750  0.1246  0.7500  2 Ti 2.49
Ti  0.8750  0.1254  0.7500  2 Ti 2.49
La  0.0000  0.0000  0.0000  4 Ti 2.96
La  0.7500  0.2500  0.5000  4 Ti 2.96

Summary:
energy above the most stable polymorph in this dataset = 286 meV per atom
space-group type = No. 141


SrLaTiTl2: relaxed, PBE.

Lattice parameters (Å, degrees): 5.9349 6.2213 5.9349 90.00 90.00 90.00
Last column: nearest neighbours and their distance in Å.
Element x y z (fractional)
Sr  0.0000  0.5000  0.0000  2 La 3.11
Tl  0.0000  0.0000  0.5000  2 La 2.97
Tl  0.5000  0.0000  0.0000  2 La 2.97
Ti  0.5000  0.5000  0.5000  4 Sr 4.20, 8 Tl 4.30
La  0.0000  0.0000  0.0000  4 Tl 2.97, 2 Sr 3.11

Summary:
space-group type = No. 123


no.,energy relative to the elements (eV/atom)
1,0.71
2,1.25
3,0.77
4,0.82
5,0.42
6,0.62
7,1.00
8,1.28